A relaxed Li3Cd4Pd2 crystal. Source: Alexandria, functional PBE.

a = 8.3024 Å, b = 4.4593 Å, c = 8.5580 Å
α = 90.00°, β = 95.52°, γ = 90.00°
Closest atoms and distances in Å follow each position.
Space group C2/m (No. 12)
One atom of each set of equivalent atoms:
Li: 0.0000 0.0000 0.0000 (multiplicity 2)  8 Cd 2.83-2.85, 4 Pd 3.16
Li: 0.1689 0.5000 0.5499 (multiplicity 4)  3 Li 2.78-2.85, 1 Pd 2.81, 4 Cd 2.84-2.88
Cd: 0.0001 0.0000 0.3309 (multiplicity 4)  3 Pd 2.82-2.85, 6 Li 2.83-3.15, 3 Cd 2.89-3.14
Cd: 0.1679 0.5000 0.8861 (multiplicity 4)  4 Pd 2.83-2.87, 4 Li 2.83-2.88, 2 Cd 3.14
Pd: 0.1652 0.5000 0.2218 (multiplicity 4)  1 Li 2.81, 7 Cd 2.82-2.87

ΔE_f, eV per atom: -0.372
Theoretical density, g cm⁻³: 7.196
Magnetization, μB per cell: 0.0